Record 1
This record from OQMD via LeMat-Bulk describes a geometry-optimized MgPa structure. The functional is PBE.

a = 5.872 Å, b = 5.150 Å, c = 8.429 Å
α = 90.00°, β = 110.31°, γ = 90.00°
Fractional positions:
Mg 0.000 0.000 0.000
Mg 0.076 0.500 0.799
Mg 0.527 0.500 0.611
Mg 0.718 0.500 0.989
Mg 0.800 0.000 0.599
Pa 0.206 0.000 0.414
Pa 0.364 0.500 0.209
Pa 0.391 0.000 0.803
Pa 0.591 0.000 0.183
Pa 0.953 0.500 0.389

Computed properties:
As for the total energy: -52.5 eV per cell.



Record 2
This record from OQMD via LeMat-Bulk describes a geometry-optimized MgPa structure. The functional is PBE.

a = 6.728 Å, b = 5.541 Å, c = 5.159 Å
α = 90.00°, β = 90.00°, γ = 90.00°
Fractional positions:
Mg 0.111 0.099 0.250
Mg 0.111 0.401 0.750
Mg 0.889 0.599 0.250
Mg 0.889 0.901 0.750
Pa 0.401 0.612 0.250
Pa 0.401 0.888 0.750
Pa 0.599 0.112 0.250
Pa 0.599 0.388 0.750

Computed properties:
As for the total energy: -42.8 eV per cell.



Record 3
This record from OQMD via LeMat-Bulk describes a geometry-optimized MgPa structure. The functional is PBE.

a = 5.288 Å, b = 5.288 Å, c = 6.137 Å
α = 90.00°, β = 90.00°, γ = 120.00°
Fractional positions:
Mg 0.333 0.667 0.250
Mg 0.667 0.333 0.750
Pa 0.333 0.667 0.750
Pa 0.667 0.333 0.250

Computed properties:
As for the total energy: -14.6 eV per cell.



Record 4
This record from OQMD via LeMat-Bulk describes a geometry-optimized MgPa structure. The functional is PBE.

a = 5.996 Å, b = 4.907 Å, c = 6.559 Å
α = 90.00°, β = 90.00°, γ = 90.00°
Fractional positions:
Mg 0.077 0.250 0.110
Mg 0.423 0.750 0.610
Mg 0.577 0.250 0.390
Mg 0.923 0.750 0.890
Pa 0.076 0.250 0.599
Pa 0.424 0.750 0.099
Pa 0.576 0.250 0.901
Pa 0.924 0.750 0.401

Computed properties:
As for the total energy: -40.9 eV per cell.



Record 5
This record from OQMD via LeMat-Bulk describes a geometry-optimized MgPa structure. The functional is PBE.

a = 7.218 Å, b = 5.169 Å, c = 8.243 Å
α = 90.00°, β = 103.54°, γ = 90.00°
Fractional positions:
Mg 0.042 0.250 0.175
Mg 0.129 0.750 0.521
Mg 0.359 0.250 0.488
Mg 0.641 0.750 0.512
Mg 0.871 0.250 0.479
Mg 0.958 0.750 0.825
Pa 0.219 0.250 0.851
Pa 0.310 0.750 0.171
Pa 0.494 0.250 0.133
Pa 0.506 0.750 0.867
Pa 0.690 0.250 0.829
Pa 0.781 0.750 0.149

Computed properties:
As for the total energy: -63.3 eV per cell.



Record 6
This record from OQMD via LeMat-Bulk describes a geometry-optimized MgPa structure. The functional is PBE.

a = 3.111 Å, b = 3.111 Å, c = 5.780 Å
α = 90.00°, β = 90.00°, γ = 120.00°
Fractional positions:
Mg 0.000 0.000 0.000
Pa 0.333 0.667 0.500

Computed properties:
As for the total energy: -10.8 eV per cell.



Record 7
This record from OQMD via LeMat-Bulk describes a geometry-optimized MgPa structure. The functional is PBE.

a = 5.276 Å, b = 8.515 Å, c = 8.515 Å
α = 140.15°, β = 90.00°, γ = 90.00°
Fractional positions:
Mg 0.000 0.000 0.000
Mg 0.000 0.204 0.802
Mg 0.000 0.802 0.204
Mg 0.500 0.096 0.505
Mg 0.500 0.505 0.096
Pa 0.000 0.419 0.587
Pa 0.000 0.587 0.419
Pa 0.500 0.290 0.290
Pa 0.500 0.705 0.880
Pa 0.500 0.880 0.705

Computed properties:
As for the total energy: -52.5 eV per cell.



Record 8
This record from OQMD via LeMat-Bulk describes a geometry-optimized MgPa structure. The functional is PBE.

a = 6.393 Å, b = 5.140 Å, c = 8.990 Å
α = 90.00°, β = 101.64°, γ = 90.00°
Fractional positions:
Mg 0.021 0.250 0.096
Mg 0.193 0.250 0.797
Mg 0.471 0.750 0.901
Mg 0.529 0.250 0.099
Mg 0.807 0.750 0.203
Mg 0.979 0.750 0.904
Pa 0.118 0.750 0.555
Pa 0.325 0.750 0.266
Pa 0.351 0.250 0.433
Pa 0.649 0.750 0.567
Pa 0.675 0.250 0.734
Pa 0.882 0.250 0.445

Computed properties:
As for the total energy: -64.0 eV per cell.



Record 9
This record from OQMD via LeMat-Bulk describes a geometry-optimized MgPa structure. The functional is PBE.

a = 6.653 Å, b = 5.165 Å, c = 8.613 Å
α = 90.00°, β = 101.41°, γ = 90.00°
Fractional positions:
Mg 0.130 0.250 0.044
Mg 0.311 0.250 0.741
Mg 0.357 0.750 0.957
Mg 0.643 0.250 0.043
Mg 0.689 0.750 0.259
Mg 0.870 0.750 0.956
Pa 0.008 0.750 0.607
Pa 0.205 0.750 0.322
Pa 0.456 0.250 0.392
Pa 0.544 0.750 0.608
Pa 0.795 0.250 0.678
Pa 0.992 0.250 0.393

Computed properties:
As for the total energy: -63.9 eV per cell.



Record 10
This record from OQMD via LeMat-Bulk describes a geometry-optimized MgPa structure. The functional is PBE.

a = 5.235 Å, b = 9.710 Å, c = 5.715 Å
α = 90.00°, β = 90.00°, γ = 90.00°
Fractional positions:
Mg 0.000 0.075 0.000
Mg 0.000 0.925 0.500
Mg 0.500 0.088 0.715
Mg 0.500 0.415 0.713
Mg 0.500 0.585 0.213
Mg 0.500 0.912 0.215
Pa 0.000 0.272 0.480
Pa 0.000 0.419 0.026
Pa 0.000 0.581 0.526
Pa 0.000 0.728 0.980
Pa 0.500 0.253 0.230
Pa 0.500 0.747 0.730

Computed properties:
As for the total energy: -62.6 eV per cell.



Record 11
This record from OQMD via LeMat-Bulk describes a geometry-optimized MgPa structure. The functional is PBE.

a = 5.017 Å, b = 7.726 Å, c = 5.022 Å
α = 90.00°, β = 90.00°, γ = 90.00°
Fractional positions:
Mg 0.000 0.000 0.000
Mg 0.000 0.222 0.500
Mg 0.000 0.778 0.500
Mg 0.500 0.000 0.502
Pa 0.000 0.500 0.000
Pa 0.500 0.285 0.002
Pa 0.500 0.500 0.500
Pa 0.500 0.715 0.002

Computed properties:
As for the total energy: -42.4 eV per cell.



Record 12
This record from OQMD via LeMat-Bulk describes a geometry-optimized MgPa structure. The functional is PBE.

a = 6.491 Å, b = 17.291 Å, c = 5.129 Å
α = 90.00°, β = 90.00°, γ = 90.00°
Fractional positions:
Mg 0.109 0.144 0.250
Mg 0.109 0.356 0.750
Mg 0.129 0.695 0.750
Mg 0.129 0.805 0.250
Mg 0.363 0.642 0.250
Mg 0.363 0.858 0.750
Mg 0.637 0.142 0.250
Mg 0.637 0.358 0.750
Mg 0.871 0.195 0.750
Mg 0.871 0.305 0.250
Mg 0.891 0.644 0.250
Mg 0.891 0.856 0.750
Pa 0.125 0.025 0.750
Pa 0.125 0.475 0.250
Pa 0.371 0.516 0.750
Pa 0.371 0.984 0.250
Pa 0.373 0.201 0.750
Pa 0.373 0.299 0.250
Pa 0.627 0.701 0.750
Pa 0.627 0.799 0.250
Pa 0.629 0.016 0.750
Pa 0.629 0.484 0.250
Pa 0.875 0.525 0.750
Pa 0.875 0.975 0.250

Computed properties:
As for the total energy: -126.5 eV per cell.



Record 13
This record from OQMD via LeMat-Bulk describes a geometry-optimized MgPa structure. The functional is PBE.

a = 4.353 Å, b = 4.353 Å, c = 4.353 Å
α = 60.00°, β = 60.00°, γ = 60.00°
Fractional positions:
Mg 0.000 0.000 0.000
Pa 0.500 0.500 0.500

Computed properties:
As for the total energy: -8.4 eV per cell.



Record 14
This record from OQMD via LeMat-Bulk describes a geometry-optimized MgPaPb structure. The functional is PBE.

a = 5.068 Å, b = 5.068 Å, c = 5.068 Å
α = 60.00°, β = 60.00°, γ = 60.00°
Fractional positions:
Mg 0.000 0.000 0.000
Pa 0.500 0.500 0.500
Pb 0.250 0.250 0.250

Computed properties:
As for the total energy: -13.1 eV per cell.



Record 15
This record from OQMD via LeMat-Bulk describes a geometry-optimized MgPaPb structure. The functional is PBE.

a = 5.184 Å, b = 5.184 Å, c = 5.184 Å
α = 60.00°, β = 60.00°, γ = 60.00°
Fractional positions:
Mg 0.000 0.000 0.000
Pa 0.250 0.250 0.250
Pb 0.500 0.500 0.500

Computed properties:
As for the total energy: -12.7 eV per cell.



Record 16
This record from OQMD via LeMat-Bulk describes a geometry-optimized MgPaPd structure. The functional is PBE.

a = 4.770 Å, b = 4.770 Å, c = 4.770 Å
α = 60.00°, β = 60.00°, γ = 60.00°
Fractional positions:
Mg 0.000 0.000 0.000
Pa 0.250 0.250 0.250
Pd 0.500 0.500 0.500

Computed properties:
For the polymorph energy (0 for the lowest one), the calculation gives 0.703 eV per atom.



Record 17
This record from OQMD via LeMat-Bulk describes a geometry-optimized MgPaPd6 structure. The functional is PBE.

a = 4.089 Å, b = 4.089 Å, c = 7.957 Å
α = 90.00°, β = 90.00°, γ = 90.00°
Fractional positions:
Mg 0.000 0.000 0.000
Pa 0.000 0.000 0.500
Pd 0.000 0.500 0.248
Pd 0.000 0.500 0.752
Pd 0.500 0.000 0.248
Pd 0.500 0.000 0.752
Pd 0.500 0.500 0.000
Pd 0.500 0.500 0.500

Computed properties:
As for the total energy: -48.1 eV per cell.



Record 18
This record from OQMD via LeMat-Bulk describes a geometry-optimized MgPaPd structure. The functional is PBE.

a = 4.674 Å, b = 4.674 Å, c = 4.674 Å
α = 60.00°, β = 60.00°, γ = 60.00°
Fractional positions:
Mg 0.000 0.000 0.000
Pa 0.500 0.500 0.500
Pd 0.250 0.250 0.250

Computed properties:
For the polymorph energy (0 for the lowest one), the calculation gives 0.000 eV per atom.



Record 19
This record from OQMD via LeMat-Bulk describes a geometry-optimized PmMgPa structure. The functional is PBE.

a = 5.093 Å, b = 5.093 Å, c = 5.093 Å
α = 60.00°, β = 60.00°, γ = 60.00°
Fractional positions:
Pm 0.000 0.000 0.000
Mg 0.750 0.750 0.750
Pa 0.500 0.500 0.500

Computed properties:
For the polymorph energy (0 for the lowest one), the calculation gives 0.000 eV per atom.



Record 20
This record from OQMD via LeMat-Bulk describes a geometry-optimized PrMgPa structure. The functional is PBE.

a = 5.169 Å, b = 5.169 Å, c = 5.169 Å
α = 60.00°, β = 60.00°, γ = 60.00°
Fractional positions:
Pr 0.000 0.000 0.000
Mg 0.750 0.750 0.750
Pa 0.500 0.500 0.500

Computed properties:
For the polymorph energy (0 for the lowest one), the calculation gives 0.000 eV per atom.



Record 21
This record from OQMD via LeMat-Bulk describes a geometry-optimized MgPaPt structure. The functional is PBE.

a = 4.751 Å, b = 4.751 Å, c = 4.751 Å
α = 60.00°, β = 60.00°, γ = 60.00°
Fractional positions:
Mg 0.000 0.000 0.000
Pa 0.250 0.250 0.250
Pt 0.500 0.500 0.500

Computed properties:
As for the total energy: -16.2 eV per cell.



Record 22
This record from OQMD via LeMat-Bulk describes a geometry-optimized MgPaPt6 structure. The functional is PBE.

a = 4.720 Å, b = 5.783 Å, c = 5.783 Å
α = 59.99°, β = 90.00°, γ = 90.00°
Fractional positions:
Mg 0.000 0.000 0.000
Pa 0.500 0.667 0.667
Pt 0.000 0.006 0.497
Pt 0.000 0.497 0.006
Pt 0.000 0.498 0.498
Pt 0.500 0.167 0.167
Pt 0.500 0.167 0.666
Pt 0.500 0.666 0.167

Computed properties:
As for the total energy: -53.9 eV per cell.



Record 23
This record from OQMD via LeMat-Bulk describes a geometry-optimized PuMgPa structure. The functional is PBE.

a = 4.638 Å, b = 4.638 Å, c = 4.638 Å
α = 60.00°, β = 60.00°, γ = 60.00°
Fractional positions:
Pu 0.000 0.000 0.000
Mg 0.750 0.750 0.750
Pa 0.250 0.250 0.250

Computed properties:
For the polymorph energy (0 for the lowest one), the calculation gives 0.000 eV per atom.



Record 24
This record from OQMD via LeMat-Bulk describes a geometry-optimized MgPaRe structure. The functional is PBE.

a = 4.652 Å, b = 4.652 Å, c = 4.652 Å
α = 60.00°, β = 60.00°, γ = 60.00°
Fractional positions:
Mg 0.000 0.000 0.000
Pa 0.250 0.250 0.250
Re 0.500 0.500 0.500

Computed properties:
As for the total energy: -20.1 eV per cell.



Record 25
This record from OQMD via LeMat-Bulk describes a geometry-optimized MgScPa structure. The functional is PBE.

a = 5.044 Å, b = 5.044 Å, c = 5.044 Å
α = 60.00°, β = 60.00°, γ = 60.00°
Fractional positions:
Mg 0.000 0.000 0.000
Sc 0.500 0.500 0.500
Pa 0.250 0.250 0.250

Computed properties:
For the polymorph energy (0 for the lowest one), the calculation gives 0.321 eV per atom.



Record 26
This record from OQMD via LeMat-Bulk describes a geometry-optimized MgScPa structure. The functional is PBE.

a = 4.969 Å, b = 4.969 Å, c = 4.969 Å
α = 60.00°, β = 60.00°, γ = 60.00°
Fractional positions:
Mg 0.000 0.000 0.000
Sc 0.250 0.250 0.250
Pa 0.750 0.750 0.750

Computed properties:
For the polymorph energy (0 for the lowest one), the calculation gives 0.000 eV per atom.



Record 27
This record from OQMD via LeMat-Bulk describes a geometry-optimized TbMgPa structure. The functional is PBE.

a = 5.066 Å, b = 5.066 Å, c = 5.066 Å
α = 60.00°, β = 60.00°, γ = 60.00°
Fractional positions:
Tb 0.000 0.000 0.000
Mg 0.750 0.750 0.750
Pa 0.500 0.500 0.500

Computed properties:
For the polymorph energy (0 for the lowest one), the calculation gives 0.000 eV per atom.